# 1
Crystalline NaSn2Pb3 at its relaxed geometry. Source: Alexandria, functional PBE.

Properties
The calculation puts the formation energy at 0.01 eV per atom. The density of states at the Fermi level is 13.407 states/eV per cell. As for the volume: 30.3 Å³/atom.

Cell lengths 23.672, 3.395, 9.456 Å; angles 90.00, 106.99, 90.00 degrees
Space group C2/m (No. 12)
Asymmetric unit:
Na1 0.177 0.000 0.052 [4 per cell]
Sn1 0.061 0.500 0.105 [4 per cell]
Sn2 0.199 0.000 0.396 [4 per cell]
Pb1 0.065 0.000 0.423 [4 per cell]
Pb2 0.070 0.500 0.763 [4 per cell]
Pb3 0.195 0.000 0.726 [4 per cell]

---

# 2
Crystalline NdEr2In2 at its relaxed geometry. Source: Alexandria, functional PBE.

Properties
The calculation puts the formation energy at -0.37 eV per atom. The density of states at the Fermi level is 18.770 states/eV per cell. As for the volume: 28.4 Å³/atom.

Cell lengths 3.774, 27.835, 5.414 Å; angles 90.00, 90.00, 90.00 degrees
Space group Cmcm (No. 63)
Asymmetric unit:
Nd1 0.000 0.148 0.250 [4 per cell]
Er1 0.000 0.049 0.750 [4 per cell]
Er2 0.000 0.237 0.750 [4 per cell]
In1 0.000 0.356 0.250 [4 per cell]
In2 0.000 0.453 0.750 [4 per cell]

---

# 3
Crystalline LiPm4Sc3S8 at its relaxed geometry. Source: Alexandria, functional PBE.

Properties
The density of states at the Fermi level is 23.985 states/eV per cell. The value obtained for the electronic total energy is -6.47 eV/atom. As for the volume: 20.5 Å³/atom.

Cell lengths 7.7167, 7.7167, 19.0396 Å; angles 90.00, 90.00, 120.00 degrees
Space group R-3m (No. 166, hexagonal axes)
Asymmetric unit:
Li1 0.0000 0.0000 0.0000 [3 per cell]
Pm1 0.0000 0.0000 0.5000 [3 per cell]
Pm2 0.0000 0.5000 0.5000 [9 per cell]
Sc1 0.0000 0.5000 0.0000 [9 per cell]
S1 0.0000 0.0000 0.2589 [6 per cell]
S2 0.0005 0.5003 0.7409 [18 per cell]

---

# 4
Crystalline La5Se6 at its relaxed geometry. Source: Alexandria, functional PBE.

Properties
The density of states at the Fermi level is 11.348 states/eV per cell. The value obtained for the electronic total energy is -6.15 eV/atom. As for the volume: 30.8 Å³/atom.

Cell lengths 7.477, 12.912, 7.433 Å; angles 90.00, 109.48, 90.00 degrees
Space group C2/m (No. 12)
Asymmetric unit:
La1 0.000 0.000 0.000 [2 per cell]
La2 0.000 0.166 0.500 [4 per cell]
La3 0.000 0.337 0.000 [4 per cell]
Se1 0.249 0.167 0.249 [8 per cell]
Se2 0.250 0.000 0.746 [4 per cell]

---

# 5
Crystalline ZnGa3Ag2 at its relaxed geometry. Source: Alexandria, functional PBE.

Properties
The calculation puts the formation energy at 0.00 eV per atom. The density of states at the Fermi level is 7.057 states/eV per cell. As for the volume: 17.6 Å³/atom.

Cell lengths 5.310, 9.221, 8.795 Å; angles 90.00, 101.76, 90.00 degrees
Space group C2/m (No. 12)
Asymmetric unit:
Zn1 0.000 0.167 0.000 [4 per cell]
Ga1 0.246 0.000 0.245 [4 per cell]
Ga2 0.249 0.168 0.754 [8 per cell]
Ag1 0.000 0.000 0.500 [2 per cell]
Ag2 0.000 0.335 0.500 [4 per cell]
Ag3 0.000 0.500 0.000 [2 per cell]

---

# 6
Crystalline RbTl2TePd at its relaxed geometry. Source: Alexandria, functional PBE.

Properties
The density of states at the Fermi level is 3.207 states/eV per cell. The value obtained for the electronic total energy is -3.10 eV/atom. As for the volume: 33.9 Å³/atom.

Cell lengths 5.434, 5.434, 5.743 Å; angles 90.00, 90.00, 90.00 degrees
Space group P4/mmm (No. 123)
Asymmetric unit:
Rb1 0.000 0.000 0.000 [1 per cell]
Tl1 0.000 0.500 0.500 [2 per cell]
Te1 0.500 0.500 0.000 [1 per cell]
Pd1 0.500 0.500 0.500 [1 per cell]

---

# 7
Crystalline Ta3BeIr4 at its relaxed geometry. Source: Alexandria, functional PBE.

Properties
The calculation puts the formation energy at -0.60 eV per atom. The density of states at the Fermi level is 7.238 states/eV per cell. As for the volume: 14.9 Å³/atom.

Cell lengths 2.889, 2.889, 14.297 Å; angles 90.00, 90.00, 90.00 degrees
Space group P4/mmm (No. 123)
Asymmetric unit:
Ta1 0.000 0.000 0.000 [1 per cell]
Ta2 0.000 0.000 0.271 [2 per cell]
Be1 0.000 0.000 0.500 [1 per cell]
Ir1 0.500 0.500 0.135 [2 per cell]
Ir2 0.500 0.500 0.402 [2 per cell]

---

# 8
Crystalline Tl4AsO5 at its relaxed geometry. Source: Alexandria, functional PBE.

Properties
The density of states at the Fermi level is 7.929 states/eV per cell. The value obtained for the electronic total energy is -4.69 eV/atom. As for the volume: 18.5 Å³/atom.

Cell lengths 8.576, 8.576, 5.039 Å; angles 90.00, 90.00, 90.00 degrees
Space group I4 (No. 79)
Asymmetric unit:
Tl1 0.079 0.298 0.000 [8 per cell]
As1 0.000 0.000 0.491 [2 per cell]
O1 0.000 0.000 0.139 [2 per cell]
O2 0.131 0.163 0.569 [8 per cell]

---

Number 1: spin magnetization 0.0 μB/cell. Number 2: spin magnetization 0.0 μB/cell. Number 3: spin magnetization 0.0 μB/cell. Number 4: spin magnetization 0.0 μB/cell. Number 5: spin magnetization 0.0 μB/cell. Number 6: spin magnetization 0.0 μB/cell. Number 7: spin magnetization 0.0 μB/cell. Number 8: spin magnetization 1.5 μB/cell.